Ac2ScPb2: relaxed, PBE-GGA.

Properties
* space-group type: No. 71
* crystal system: orthorhombic
* E above lowest polymorph: 0.000 eV/atom
* M_tot: 0.00 μB per formula unit
* calculated volume: 172.6 Å³ per cell
* ΔH_f (0 K): -2.4 eV/f.u.

a b c (Å): 6.6936 6.6936 6.6936
angles (deg): 138.27 117.28 78.19
Element x y z (fractional)
Ac (0.2006, 0.2006, 0.0000)
Ac (0.7994, 0.7994, 0.0000)
Sc (0.5000, 0.0000, 0.5000)
Pb (0.2377, 0.5000, 0.7377)
Pb (0.7623, 0.5000, 0.2623)